Th4Si2Te (PBE, optimized geometry); SG = R-3m; E_form (uncorrected) = -0.6209 eV per atom; V = 30.4 Å³ per atom; D(E_F) = 5.03 states/eV/f.u.
1.0
2.089 1.206 14.068
-2.089 1.206 14.068
0.000 -2.413 14.068
Th Si Te
4 2 1
Cartesian
0.000 0.000 5.503
0.000 0.000 11.878
0.000 0.000 30.327
0.000 0.000 36.702
0.000 0.000 17.908
0.000 0.000 24.297
0.000 0.000 0.000